Entry 1:
The following is a DFT calculation (GGA-PBE) of a geometry-optimized TaAlSe2 structure.

Lattice parameters (Å, degrees): 4.303 3.356 5.305 90.00 103.23 90.00
Positions (direct):
Ta  0.000  0.000  0.000
Al  0.500  0.500  0.500
Se  0.000  0.000  0.500
Se  0.500  0.500  0.000

Energy relative to the elements, uncorrected ... -0.05 eV/atom
Density of states at the Fermi level ... 0.534 states/eV/atom
Space group ... P2/m (10)
Uncorrected energy ... -5.690 eV/atom

Entry 2:
The following is a DFT calculation (GGA-PBE) of a geometry-optimized TaAlSe structure.

Lattice parameters (Å, degrees): 5.425 5.425 5.425 144.77 144.77 50.68
Positions (direct):
Ta  0.000  0.000  0.000
Al  0.321  0.321  0.000
Se  0.629  0.629  0.000

ΔE to the lowest computed polymorph ... 0.090 eV per atom
Energy relative to the elements, uncorrected ... -0.24 eV/atom
Density of states at the Fermi level ... 0.366 states/eV/atom
Space group ... I4mm (107)
Uncorrected energy ... -6.603 eV/atom

Entry 3:
The following is a DFT calculation (GGA-PBE) of a geometry-optimized TaAlSe2 structure.

Lattice parameters (Å, degrees): 3.523 3.523 8.012 90.00 90.00 123.60
Positions (direct):
Ta  0.000  0.000  0.000
Al  0.000  0.000  0.500
Se  0.500  0.500  0.248
Se  0.500  0.500  0.752

Energy relative to the elements, uncorrected ... 0.04 eV/atom
Density of states at the Fermi level ... 0.304 states/eV/atom
Space group ... Cmmm (65)
Uncorrected energy ... -5.600 eV/atom

Entry 4:
The following is a DFT calculation (GGA-PBE) of a geometry-optimized Ta2AlSe4 structure.

Lattice parameters (Å, degrees): 7.275 7.275 7.275 139.48 139.48 58.64
Positions (direct):
Ta  0.109  0.109  0.000
Ta  0.891  0.891  0.000
Al  0.500  0.500  0.000
Se  0.000  0.500  0.500
Se  0.300  0.300  0.000
Se  0.500  0.000  0.500
Se  0.700  0.700  0.000

Energy relative to the elements, uncorrected ... 0.28 eV/atom
Density of states at the Fermi level ... 0.914 states/eV/atom
Space group ... I4/mmm (139)
Uncorrected energy ... -5.634 eV/atom